PrEuPd | PBE | optimized geometry

Cell lengths 4.3348, 4.8128, 4.8128 Å; angles 120.00, 90.00, 90.00 degrees
Site moments in Bohr magnetons follow the coordinates.
Fractional coordinates of all 3 atoms:
Pd  0.0129  0.0000  0.0000  0.00
Pr  0.2647  0.3333  0.6667  0.10
Eu  0.7223  0.6667  0.3333  6.87

Results
DFT formation energy ... -0.304 eV per atom
Mass density ... 7.63 g/cm3
E_tot ... -7.053 eV/atom
V ... 87.0 Å³/cell
ΔE to the lowest computed polymorph ... 146 meV per atom
Space-group type ... P3m1, No. 156